# 1
Here is a relaxed structure of Cs2BAsF6 from the Alexandria database. Energies are from PBE.

Structure (CIF):
```
data_Cs2BAsF6
_chemical_formula_sum 'Cs2 B1 As1 F6'
_symmetry_space_group_name_H-M 'P 1'
_symmetry_Int_Tables_number 1
_cell_length_a 6.333
_cell_length_b 6.333
_cell_length_c 6.352
_cell_angle_alpha 60.10
_cell_angle_beta 60.10
_cell_angle_gamma 90.00
loop_
_symmetry_equiv_pos_as_xyz
'x,y,z'
loop_
_atom_site_label
_atom_site_type_symbol
_atom_site_fract_x
_atom_site_fract_y
_atom_site_fract_z
Cs1 Cs 0.750 0.250 0.500
Cs2 Cs 0.250 0.750 0.500
As1 As 0.000 0.000 0.000
B1 B 0.500 0.500 0.000
F1 F 0.231 0.231 0.538
F2 F 0.769 0.769 0.462
F3 F 0.233 0.233 0.000
F4 F 0.767 0.767 0.000
F5 F 0.767 0.233 0.000
F6 F 0.233 0.767 0.000
```

Calculated values
Formation energy from raw total energies, eV per atom: -1.808
Calculated volume, A^3/atom: 18.068
DFT total energy, eV per formula unit: -42.34
Fermi-level density of states, states/eV per atom: 0.000

# 2
Here is a relaxed structure of TbPrEuGd from the Alexandria database. Energies are from PBE.

Structure (CIF):
```
data_TbPrEuGd
_chemical_formula_sum 'Tb1 Pr1 Eu1 Gd1'
_symmetry_space_group_name_H-M 'P 1'
_symmetry_Int_Tables_number 1
_cell_length_a 5.832
_cell_length_b 5.832
_cell_length_c 5.832
_cell_angle_alpha 60.00
_cell_angle_beta 60.00
_cell_angle_gamma 60.00
loop_
_symmetry_equiv_pos_as_xyz
'x,y,z'
loop_
_atom_site_label
_atom_site_type_symbol
_atom_site_fract_x
_atom_site_fract_y
_atom_site_fract_z
Eu1 Eu 0.000 0.000 0.000
Pr1 Pr 0.250 0.250 0.250
Gd1 Gd 0.500 0.500 0.500
Tb1 Tb 0.750 0.750 0.750
```

Calculated values
E_form, eV/atom: 0.1469
Calculated volume, A^3/atom: 35.059
DFT total energy, eV per formula unit: -33.18
Fermi-level density of states, states/eV per atom: 2.209

# 3
Here is a relaxed structure of La5Pr6Y2 from the Alexandria database. Energies are from PBE.

Structure (CIF):
```
data_La5Pr6Y2
_chemical_formula_sum 'La10 Pr12 Y4'
_symmetry_space_group_name_H-M 'P 1'
_symmetry_Int_Tables_number 1
_cell_length_a 3.700
_cell_length_b 11.985
_cell_length_c 21.305
_cell_angle_alpha 90.00
_cell_angle_beta 90.00
_cell_angle_gamma 90.00
loop_
_symmetry_equiv_pos_as_xyz
'x,y,z'
loop_
_atom_site_label
_atom_site_type_symbol
_atom_site_fract_x
_atom_site_fract_y
_atom_site_fract_z
La1 La 0.500 0.303 0.449
La2 La 0.500 0.697 0.551
La3 La 0.500 0.803 0.051
La4 La 0.500 0.197 0.949
La5 La 0.500 0.588 0.272
La6 La 0.500 0.412 0.728
La7 La 0.500 0.088 0.228
La8 La 0.500 0.912 0.772
La9 La 0.500 0.500 0.000
La10 La 0.500 0.000 0.500
Pr1 Pr 0.000 0.085 0.369
Pr2 Pr 0.000 0.915 0.631
Pr3 Pr 0.000 0.585 0.131
Pr4 Pr 0.000 0.415 0.869
Pr5 Pr 0.500 0.326 0.140
Pr6 Pr 0.500 0.674 0.860
Pr7 Pr 0.500 0.826 0.360
Pr8 Pr 0.500 0.174 0.640
Pr9 Pr 0.000 0.562 0.418
Pr10 Pr 0.000 0.438 0.582
Pr11 Pr 0.000 0.062 0.082
Pr12 Pr 0.000 0.938 0.918
Y1 Y 0.000 0.332 0.291
Y2 Y 0.000 0.668 0.709
Y3 Y 0.000 0.832 0.209
Y4 Y 0.000 0.168 0.791
```

Calculated values
E_form, eV/atom: 0.0774
Calculated volume, A^3/atom: 36.337
DFT total energy, eV per formula unit: -65.24
Fermi-level density of states, states/eV per atom: 1.273